Material: Ti6CuPd12
Method: DFT, PBE
State: optimized geometry

```
Ti6CuPd12
1.0
4.735 2.733 3.866
-4.735 2.733 3.866
0.000 -5.467 3.866
Ti Cu Pd
6 1 12
Direct
0.208 0.380 0.761
0.239 0.792 0.620
0.380 0.761 0.208
0.620 0.239 0.792
0.761 0.208 0.380
0.792 0.620 0.239
0.500 0.500 0.500
0.039 0.938 0.298
0.062 0.702 0.961
0.142 0.482 0.356
0.298 0.039 0.938
0.356 0.142 0.482
0.482 0.356 0.142
0.518 0.644 0.858
0.644 0.858 0.518
0.702 0.961 0.062
0.858 0.518 0.644
0.938 0.298 0.039
0.961 0.062 0.702
```

Output
Raw total energy   -0.2367 Ha/atom
DOS(E_F)   15.660 states/eV/cell



Material: Rb2ScReBr6
Method: DFT, PBE
State: optimized geometry

```
Rb2ScReBr6
1.0
0.000 5.288 5.288
5.288 0.000 5.288
5.288 5.288 0.000
Rb Sc Re Br
2 1 1 6
Direct
0.250 0.250 0.250
0.750 0.750 0.750
0.000 0.000 0.000
0.500 0.500 0.500
0.255 0.255 0.745
0.255 0.745 0.255
0.255 0.745 0.745
0.745 0.255 0.255
0.745 0.255 0.745
0.745 0.745 0.255
```

Output
Formation energy from raw total energies   -0.92 eV per atom
DOS(E_F)   0.000 states/eV/cell



Which of these has the highest DOS(E_F)? Ti6CuPd12



Which of these has the highest DOS(E_F)? Ti6CuPd12



Number 1 is which compound? Ti6CuPd12